[1]
Material: Ce4Pm3PuS8
Method: DFT, PBE-GGA
State: relaxed

Computed properties:
* N(E_F): 26.45 states/eV per cell
* crystal system: trigonal
* energy: -7.35 eV per atom
* E_form (uncorrected): -2014 meV per atom
* mass density: 6.8 Mg/m³

a = 8.0370 Å, b = 8.0405 Å, c = 8.0371 Å
α = 119.99°, β = 120.00°, γ = 90.00°
With the nearest neighbours (Å) after each atom.
Atoms (fractional coordinates):
S1 0.2499 0.2496 0.4997  3 Ce 2.84, 3 Pm 2.84
Ce1 0.5000 0.0000 0.5000  6 S 2.84
S2 0.7524 0.2521 0.9997  1 Pu 2.81, 3 Ce 2.84-2.87, 2 Pm 2.84
Ce2 0.0000 0.0000 0.5000  6 S 2.84
Pm1 0.5000 0.5000 0.5000  6 S 2.84
Pm2 0.5000 0.5000 0.0000  6 S 2.84
S3 0.2473 0.2521 0.9997  1 Pu 2.81, 3 Ce 2.84-2.87, 2 Pm 2.84
Ce3 0.5000 0.0000 0.0000  6 S 2.87
S4 0.7524 0.2521 0.5048  1 Pu 2.81, 3 Ce 2.84-2.87, 2 Pm 2.84
Pu1 0.0000 0.5000 0.0000  6 S 2.81
S5 0.2476 0.7479 0.0003  1 Pu 2.81, 3 Ce 2.84-2.87, 2 Pm 2.84
S6 0.7501 0.7504 0.5003  3 Ce 2.84, 3 Pm 2.84
Pm3 0.0000 0.5000 0.5000  6 S 2.84
S7 0.2476 0.7479 0.4952  1 Pu 2.81, 3 Ce 2.84-2.87, 2 Pm 2.84
S8 0.7527 0.7479 0.0003  1 Pu 2.81, 3 Ce 2.84-2.87, 2 Pm 2.84
Ce4 0.0000 0.0000 0.0000  6 S 2.84

[2]
Material: CeTm6Sc2
Method: DFT, PBE-GGA
State: relaxed

Computed properties:
* N(E_F): 31.69 states/eV per cell
* crystal system: monoclinic
* energy: -4.91 eV per atom
* energy above the most stable polymorph in this dataset: 0.0000 eV per atom
* E_form: 134 meV/atom
* mass density: 7.9 Mg/m³

a = 6.3219 Å, b = 9.2395 Å, c = 9.2395 Å
α = 96.74°, β = 81.96°, γ = 81.96°
With the nearest neighbours (Å) after each atom.
Atoms (fractional coordinates):
Tm1 0.7169 0.0709 0.4501  6 Tm 3.27-3.42, 2 Sc 3.32-3.39, 1 Ce 3.33
Tm2 0.4921 0.3529 0.7254  5 Tm 3.20-3.42, 1 Ce 3.24, 3 Sc 3.25-3.33
Tm3 0.9921 0.7254 0.3529  5 Tm 3.20-3.42, 1 Ce 3.24, 3 Sc 3.25-3.33
Sc1 0.8626 0.3882 0.3491  3 Sc 3.21-3.24, 7 Tm 3.25-3.42
Tm4 0.1929 0.0567 0.2322  3 Ce 3.28-3.63, 2 Sc 3.29-3.42, 3 Tm 3.36-3.47
Tm5 0.2169 0.4501 0.0709  6 Tm 3.27-3.42, 2 Sc 3.32-3.39, 1 Ce 3.33
Ce1 0.7500 0.8857 0.1143  8 Tm 3.24-3.61
Tm6 0.8071 0.9433 0.7678  3 Ce 3.28-3.63, 2 Sc 3.29-3.42, 3 Tm 3.36-3.47
Ce2 0.2500 0.1143 0.8857  8 Tm 3.24-3.61
Tm7 0.3071 0.7678 0.9433  3 Ce 3.28-3.63, 2 Sc 3.29-3.42, 3 Tm 3.36-3.47
Sc2 0.1374 0.6118 0.6509  3 Sc 3.21-3.24, 7 Tm 3.25-3.42
Tm8 0.6929 0.2322 0.0567  3 Ce 3.28-3.63, 2 Sc 3.29-3.42, 3 Tm 3.36-3.47
Tm9 0.5079 0.6471 0.2746  5 Tm 3.20-3.42, 1 Ce 3.24, 3 Sc 3.25-3.33
Tm10 0.2831 0.9291 0.5499  6 Tm 3.27-3.42, 2 Sc 3.32-3.39, 1 Ce 3.33
Sc3 0.3626 0.3491 0.3882  3 Sc 3.21-3.24, 7 Tm 3.25-3.42
Tm11 0.0079 0.2746 0.6471  5 Tm 3.20-3.42, 1 Ce 3.24, 3 Sc 3.25-3.33
Tm12 0.7831 0.5499 0.9291  6 Tm 3.27-3.42, 2 Sc 3.32-3.39, 1 Ce 3.33
Sc4 0.6374 0.6509 0.6118  3 Sc 3.21-3.24, 7 Tm 3.25-3.42

[3]
Material: SmErMg3
Method: DFT, PBE-GGA
State: relaxed

Computed properties:
* N(E_F): 11.69 states/eV per cell
* crystal system: trigonal
* energy: -2.79 eV per atom
* energy above the most stable polymorph in this dataset: 0.0556 eV per atom
* E_form: 20 meV/atom
* mass density: 4.7 Mg/m³

a = 8.9477 Å, b = 8.9477 Å, c = 8.9477 Å
α = 40.86°, β = 40.86°, γ = 40.86°
With the nearest neighbours (Å) after each atom.
Atoms (fractional coordinates):
Sm1 0.5678 0.5678 0.5678  1 Sm 3.33, 6 Mg 3.36
Mg1 0.8783 0.8783 0.3898  6 Mg 3.02-3.20, 2 Sm 3.36
Mg2 0.1217 0.1217 0.6102  6 Mg 3.02-3.20, 2 Sm 3.36
Mg3 0.1217 0.6102 0.1217  6 Mg 3.02-3.20, 2 Sm 3.36
Mg4 0.6102 0.1217 0.1217  6 Mg 3.02-3.20, 2 Sm 3.36
Er1 0.8345 0.8345 0.8345  6 Mg 3.41-3.42, 3 Er 3.61
Mg5 0.8783 0.3898 0.8783  6 Mg 3.02-3.20, 2 Sm 3.36
Sm2 0.4322 0.4322 0.4322  1 Sm 3.33, 6 Mg 3.36
Er2 0.1655 0.1655 0.1655  6 Mg 3.41-3.42, 3 Er 3.61
Mg6 0.3898 0.8783 0.8783  6 Mg 3.02-3.20, 2 Sm 3.36

[4]
Material: RbPNO2
Method: DFT, PBE-GGA
State: relaxed

Computed properties:
* crystal system: trigonal
* energy: -6.36 eV per atom
* E_form (uncorrected): -1435 meV per atom
* mass density: 2.8 Mg/m³

a = 8.5504 Å, b = 8.5504 Å, c = 8.5504 Å
α = 101.43°, β = 101.43°, γ = 101.43°
With the nearest neighbours (Å) after each atom.
Atoms (fractional coordinates):
N1 0.1300 0.3706 0.2507  2 P 1.66
Rb1 0.2495 0.6569 0.8431  6 O 3.03-3.12, 2 N 3.13-3.14
Rb2 0.1569 0.7505 0.3431  6 O 3.03-3.12, 2 N 3.13-3.14
P1 0.7500 0.6194 0.8796  2 O 1.52, 2 N 1.66
O1 0.8601 0.6694 0.0536  1 P 1.52
O2 0.9464 0.1399 0.3306  1 P 1.52
Rb3 0.8431 0.2495 0.6569  6 O 3.03-3.12, 2 N 3.13-3.14
O3 0.6694 0.0536 0.8601  1 P 1.52
P2 0.3806 0.1204 0.2500  2 O 1.52, 2 N 1.66
O4 0.5548 0.1701 0.3596  1 P 1.52
O5 0.3306 0.9464 0.1399  1 P 1.52
N2 0.2507 0.1300 0.3706  2 P 1.66
Rb4 0.3431 0.1569 0.7505  6 O 3.03-3.12, 2 N 3.13-3.14
Rb5 0.7505 0.3431 0.1569  6 O 3.03-3.12, 2 N 3.13-3.14
O6 0.0536 0.8601 0.6694  1 P 1.52
O7 0.6404 0.4452 0.8299  1 P 1.52
Rb6 0.6569 0.8431 0.2495  6 O 3.03-3.12, 2 N 3.13-3.14
O8 0.1399 0.3306 0.9464  1 P 1.52
O9 0.8299 0.6404 0.4452  1 P 1.52
O10 0.4452 0.8299 0.6404  1 P 1.52
O11 0.1701 0.3596 0.5548  1 P 1.52
N3 0.7493 0.8700 0.6294  2 P 1.66
P3 0.8796 0.7500 0.6194  2 O 1.52, 2 N 1.66
P4 0.6194 0.8796 0.7500  2 O 1.52, 2 N 1.66
P5 0.1204 0.2500 0.3806  2 O 1.52, 2 N 1.66
P6 0.2500 0.3806 0.1204  2 O 1.52, 2 N 1.66
N4 0.6294 0.7493 0.8700  2 P 1.66
O12 0.3596 0.5548 0.1701  1 P 1.52
N5 0.8700 0.6294 0.7493  2 P 1.66
N6 0.3706 0.2507 0.1300  2 P 1.66

[5]
Material: SrLi2W
Method: DFT, PBE-GGA
State: relaxed

Computed properties:
* N(E_F): 3.68 states/eV per cell
* crystal system: monoclinic
* energy: -3.79 eV per atom
* energy above the most stable polymorph in this dataset: 0.1033 eV per atom
* E_form: 830 meV/atom
* mass density: 5.6 Mg/m³

a = 5.0487 Å, b = 2.7608 Å, c = 6.0482 Å
α = 88.08°, β = 90.00°, γ = 90.00°
With the nearest neighbours (Å) after each atom.
Atoms (fractional coordinates):
Li1 0.0000 0.4130 0.5642  1 Li 2.39
Sr1 0.5000 0.2500 0.2500  2 Sr 2.76
W1 0.5000 0.7500 0.7500  2 W 2.76, 4 Li 2.93
Li2 0.0000 0.0870 0.9358  1 Li 2.39

[6]
Material: NdTl2Sb2
Method: DFT, PBE-GGA
State: relaxed

Computed properties:
* N(E_F): 3.21 states/eV per cell
* crystal system: orthorhombic
* energy: -4.01 eV per atom
* E_form (uncorrected): -462 meV per atom
* mass density: 8.6 Mg/m³

a = 4.5280 Å, b = 4.4672 Å, c = 15.3241 Å
α = 90.00°, β = 98.50°, γ = 90.00°
With the nearest neighbours (Å) after each atom.
Atoms (fractional coordinates):
Tl1 0.5596 0.2500 0.1191  4 Tl 3.19, 2 Sb 3.28
Nd1 0.3313 0.2500 0.6627  8 Sb 3.31-3.35
Tl2 0.9484 0.2500 0.8968  4 Tl 3.19, 2 Sb 3.44
Tl3 0.0516 0.7500 0.1032  4 Tl 3.19, 2 Sb 3.44
Nd2 0.6687 0.7500 0.3373  8 Sb 3.31-3.35
Sb1 0.2500 0.7500 0.4999  4 Sb 3.18, 4 Nd 3.33-3.35
Sb2 0.7500 0.2500 0.5001  4 Sb 3.18, 4 Nd 3.33-3.35
Sb3 0.8621 0.7500 0.7243  4 Tl 3.28-3.44, 4 Nd 3.31
Tl4 0.4404 0.7500 0.8809  4 Tl 3.19, 2 Sb 3.28
Sb4 0.1379 0.2500 0.2757  4 Tl 3.28-3.44, 4 Nd 3.31

[7]
Material: FeRhN3
Method: DFT, PBE-GGA
State: relaxed

Computed properties:
* N(E_F): 4.18 states/eV per cell
* crystal system: cubic
* energy: -6.81 eV per atom
* E_form (uncorrected): 1344 meV per atom
* mass density: 7.0 Mg/m³

a = 3.6224 Å, b = 3.6224 Å, c = 3.6224 Å
α = 90.00°, β = 90.00°, γ = 90.00°
With the nearest neighbours (Å) after each atom.
Atoms (fractional coordinates):
Rh1 0.5000 0.5000 0.5000  12 N 2.56
Fe1 0.0000 0.0000 0.0000  6 N 1.81
N1 0.5000 0.0000 0.0000  2 Fe 1.81
N2 0.0000 0.0000 0.5000  2 Fe 1.81
N3 0.0000 0.5000 0.0000  2 Fe 1.81

[8]
Material: CaNdRh
Method: DFT, PBE-GGA
State: relaxed

Computed properties:
* N(E_F): 3.89 states/eV per cell
* crystal system: orthorhombic
* energy: -5.15 eV per atom
* energy above the most stable polymorph in this dataset: 0.0000 eV per atom
* E_form: -447 meV/atom
* mass density: 5.3 Mg/m³

a = 5.4797 Å, b = 8.7778 Å, c = 8.6504 Å
α = 120.52°, β = 90.00°, γ = 90.00°
With the nearest neighbours (Å) after each atom.
Atoms (fractional coordinates):
Rh1 0.2501 0.0344 0.8187  2 Ca 2.80, 4 Nd 2.84-2.94
Rh2 0.7499 0.9656 0.1813  2 Ca 2.80, 4 Nd 2.84-2.94
Nd1 0.7499 0.5844 0.9191  4 Rh 2.84-2.94
Ca1 0.7502 0.3326 0.4151  2 Rh 2.80
Ca2 0.2498 0.6674 0.5849  2 Rh 2.80
Rh3 0.2499 0.5344 0.8187  2 Ca 2.80, 4 Nd 2.84-2.94
Nd2 0.2499 0.9156 0.0809  4 Rh 2.84-2.94
Ca3 0.2502 0.1674 0.5849  2 Rh 2.80
Rh4 0.7501 0.4656 0.1813  2 Ca 2.80, 4 Nd 2.84-2.94
Ca4 0.7498 0.8326 0.4151  2 Rh 2.80
Nd3 0.2501 0.4156 0.0809  4 Rh 2.84-2.94
Nd4 0.7501 0.0844 0.9191  4 Rh 2.84-2.94

[9]
Material: ThNb2Co9
Method: DFT, PBE-GGA
State: relaxed

Computed properties:
* N(E_F): 18.70 states/eV per cell
* crystal system: trigonal
* energy: -7.77 eV per atom
* E_form: -149 meV/atom
* mass density: 9.9 Mg/m³

a = 4.8307 Å, b = 4.8307 Å, c = 8.3630 Å
α = 73.21°, β = 73.21°, γ = 60.00°
With the nearest neighbours (Å) after each atom.
Atoms (fractional coordinates):
Nb1 0.1414 0.1414 0.5757  12 Co 2.73-2.85, 3 Nb 3.03
Nb2 0.8586 0.8586 0.4243  12 Co 2.73-2.85, 3 Nb 3.03
Co1 0.3351 0.3351 0.9946  6 Co 2.47-2.51
Co2 0.5000 0.5000 0.5000  6 Co 2.35
Th1 0.0000 0.0000 0.0000  6 Co 2.79
Co3 0.5904 0.5904 0.7379  7 Co 2.35-2.51
Co4 0.5904 0.0813 0.7379  7 Co 2.35-2.51
Co5 0.4096 0.9187 0.2621  7 Co 2.35-2.51
Co6 0.0813 0.5904 0.7379  7 Co 2.35-2.51
Co7 0.6649 0.6649 0.0054  6 Co 2.47-2.51
Co8 0.9187 0.4096 0.2621  7 Co 2.35-2.51
Co9 0.4096 0.4096 0.2621  7 Co 2.35-2.51

[10]
Material: Pm2Zn3Cu12Ag
Method: DFT, PBE-GGA
State: relaxed

Computed properties:
* N(E_F): 8.77 states/eV per cell
* crystal system: trigonal
* energy: -3.50 eV per atom
* E_form: 132 meV/atom
* mass density: 7.3 Mg/m³

a = 9.6089 Å, b = 9.6089 Å, c = 9.6089 Å
α = 38.55°, β = 38.55°, γ = 38.55°
With the nearest neighbours (Å) after each atom.
Atoms (fractional coordinates):
Zn1 0.5000 0.0000 0.0000  6 Cu 2.39-2.65
Cu1 0.5830 0.2040 0.5830  2 Zn 2.39, 4 Cu 2.40-2.50
Pm1 0.6407 0.6407 0.6407  6 Cu 2.94-2.95
Zn2 0.0000 0.5000 0.0000  6 Cu 2.39-2.65
Cu2 0.7960 0.4170 0.4170  2 Zn 2.39, 4 Cu 2.40-2.50
Cu3 0.8764 0.8764 0.4506  4 Cu 2.50-2.70, 1 Zn 2.65, 1 Ag 2.77
Cu4 0.4506 0.8764 0.8764  4 Cu 2.50-2.70, 1 Zn 2.65, 1 Ag 2.77
Pm2 0.3593 0.3593 0.3593  6 Cu 2.94-2.95
Cu5 0.2040 0.5830 0.5830  2 Zn 2.39, 4 Cu 2.40-2.50
Zn3 0.0000 0.0000 0.5000  6 Cu 2.39-2.65
Cu6 0.4170 0.7960 0.4170  2 Zn 2.39, 4 Cu 2.40-2.50
Ag1 0.0000 0.0000 0.0000  6 Cu 2.77
Cu7 0.5494 0.1236 0.1236  4 Cu 2.50-2.70, 1 Zn 2.65, 1 Ag 2.77
Cu8 0.1236 0.1236 0.5494  4 Cu 2.50-2.70, 1 Zn 2.65, 1 Ag 2.77
Cu9 0.8764 0.4506 0.8764  4 Cu 2.50-2.70, 1 Zn 2.65, 1 Ag 2.77
Cu10 0.1236 0.5494 0.1236  4 Cu 2.50-2.70, 1 Zn 2.65, 1 Ag 2.77
Cu11 0.5830 0.5830 0.2040  2 Zn 2.39, 4 Cu 2.40-2.50
Cu12 0.4170 0.4170 0.7960  2 Zn 2.39, 4 Cu 2.40-2.50

[11]
Material: UAgSe3
Method: DFT, PBE-GGA
State: relaxed

Computed properties:
* N(E_F): 9.97 states/eV per cell
* crystal system: orthorhombic
* energy: -5.60 eV per atom
* energy above the most stable polymorph in this dataset: 0.0401 eV per atom
* E_form (uncorrected): -682 meV per atom
* mass density: 7.3 Mg/m³

a = 4.3562 Å, b = 7.0998 Å, c = 8.8542 Å
α = 90.00°, β = 104.24°, γ = 90.00°
With the nearest neighbours (Å) after each atom.
Atoms (fractional coordinates):
Se1 0.8295 0.4966 0.6590  1 Ag 2.78, 3 U 2.85-2.93
Se2 0.1705 0.5034 0.3410  1 Ag 2.78, 3 U 2.85-2.93
Ag1 0.0450 0.7500 0.0899  4 Se 2.60-2.78
Se3 0.5373 0.2500 0.0746  2 Ag 2.60, 1 U 2.67
U1 0.6927 0.2500 0.3854  7 Se 2.67-2.93
Ag2 0.9550 0.2500 0.9101  4 Se 2.60-2.78
Se4 0.1705 0.9966 0.3410  1 Ag 2.78, 3 U 2.85-2.93
Se5 0.4627 0.7500 0.9254  2 Ag 2.60, 1 U 2.67
U2 0.3073 0.7500 0.6146  7 Se 2.67-2.93
Se6 0.8295 0.0034 0.6590  1 Ag 2.78, 3 U 2.85-2.93

[12]
Material: Ba6MgAl
Method: DFT, PBE-GGA
State: relaxed

Computed properties:
* N(E_F): 10.26 states/eV per cell
* crystal system: tetragonal
* energy: -2.13 eV per atom
* E_form: -22 meV/atom
* mass density: 3.6 Mg/m³

a = 6.0937 Å, b = 6.0937 Å, c = 11.8109 Å
α = 75.05°, β = 75.05°, γ = 90.00°
With the nearest neighbours (Å) after each atom.
Atoms (fractional coordinates):
Ba1 0.2482 0.2482 0.5035  12 Ba 4.31-4.66
Ba2 0.7518 0.7518 0.4965  12 Ba 4.31-4.66
Ba3 0.9088 0.4088 0.1824  2 Mg 3.65, 2 Al 3.65, 1 Ba 4.01
Ba4 0.4088 0.9088 0.1824  2 Al 3.65, 2 Mg 3.65, 1 Ba 4.01
Mg1 0.5000 0.5000 0.0000  8 Ba 3.65
Al1 0.0000 0.0000 0.0000  8 Ba 3.65
Ba5 0.5912 0.0912 0.8176  2 Al 3.65, 2 Mg 3.65, 1 Ba 4.01
Ba6 0.0912 0.5912 0.8176  2 Mg 3.65, 2 Al 3.65, 1 Ba 4.01